[1]
## NaCa3Pt (GGA-PBE)

Data for a geometry-optimized NaCa3Pt structure.

Summary:
SG = Fd-3m, No. 227
DFT total energy = -60.39 eV per cell
energy relative to the elements = -346 meV/atom

extended XYZ file:
```
20
Lattice="0.000 7.537 7.537 7.537 0.000 7.537 7.537 7.537 0.000" Properties=species:S:1:pos:R:3 pbc="T T T"
Na 0.000 0.000 0.000
Na 3.768 3.768 0.000
Na 3.768 0.000 3.768
Na 0.000 3.768 3.768
Ca 5.653 5.653 2.827
Ca 5.653 2.827 5.653
Ca 8.478 5.653 5.653
Ca 9.421 9.421 6.595
Ca 9.421 6.595 9.421
Ca 12.247 9.421 9.421
Ca 2.827 5.653 5.653
Ca 5.653 8.478 5.653
Ca 5.653 5.653 8.478
Ca 6.595 9.421 9.421
Ca 9.421 12.247 9.421
Ca 9.421 9.421 12.247
Pt 7.537 3.768 3.768
Pt 3.768 7.537 3.768
Pt 3.768 3.768 7.537
Pt 7.537 7.537 7.537
```

***

[2]
## Cs2LiOs (GGA-PBE)

Data for a geometry-optimized Cs2LiOs structure.

Summary:
SG = Fm-3m, No. 225
DFT total energy = -9.06 eV per cell
energy relative to the elements = 1447 meV/atom

extended XYZ file:
```
4
Lattice="0.000 4.149 4.149 4.149 0.000 4.149 4.149 4.149 0.000" Properties=species:S:1:pos:R:3 pbc="T T T"
Cs 2.075 2.075 2.075
Cs 6.224 6.224 6.224
Li 0.000 0.000 0.000
Os 4.149 4.149 4.149
```

***

[3]
## MnFeP2 (GGA-PBE)

Data for a geometry-optimized MnFeP2 structure.

Summary:
SG = P2/m, No. 10
DFT total energy = -29.35 eV per cell
energy relative to the elements = -225 meV/atom

extended XYZ file:
```
4
Lattice="3.809 0.000 0.000 0.000 2.710 0.000 -1.885 0.000 4.267" Properties=species:S:1:pos:R:3 pbc="T T T"
Mn 0.000 0.000 0.000
Fe 0.962 1.355 2.133
P -0.943 0.000 2.133
P 1.905 1.355 0.000
```

***

[4]
## ErTm2CdHg4 (GGA-PBE)

Data for a geometry-optimized ErTm2CdHg4 structure.

Summary:
SG = R-3m, No. 166
DFT total energy = -18.95 eV per cell
energy relative to the elements = -416 meV/atom

extended XYZ file:
```
8
Lattice="2.554 1.474 8.543 -2.554 1.474 8.543 0.000 -2.949 8.543" Properties=species:S:1:pos:R:3 pbc="T T T"
Er 0.000 0.000 0.000
Tm 0.000 0.000 6.247
Tm 0.000 0.000 19.383
Cd 0.000 0.000 12.815
Hg 0.000 0.000 3.139
Hg 0.000 0.000 9.474
Hg 0.000 0.000 16.155
Hg 0.000 0.000 22.491
```

***

In order of appearance, M_tot = 0.00 1.08 0.00 0.00 μB per formula unit.